Density functional theory data (GGA+U) for an optimized crystal structure of AlGa2CoF.

Summary:
Magnetic moment, μB/f.u.: 1.98
Electronic total energy, Ry/atom: -0.248
SG: P4/mmm, No. 123

Unit cell a=4.8577 b=4.8577 c=3.8634 alpha=90.00 beta=90.00 gamma=90.00
Closest atoms and distances in Å follow each position.
Atoms (fractional coordinates):
Al1 0.0000 0.0000 0.0000  2 F 1.93
Ga1 0.0000 0.5000 0.5000  2 F 2.43
Ga2 0.5000 0.0000 0.5000  2 F 2.43
Co1 0.5000 0.5000 0.0000  8 Ga 3.10, 4 Al 3.43
F1 0.0000 0.0000 0.5000  2 Al 1.93